Record 1
## ThPaFe (PBE)

Data for a geometry-optimized ThPaFe structure.

abc: 4.863 4.159 4.159
angles: 120.00 90.00 90.00
Atoms (fractional coordinates):
Th 0.667 0.333 0.667
Pa 0.167 0.000 0.000
Fe 0.167 0.667 0.333

Calculated values
- Formation energy from the elements: 0.2 eV per formula unit
- Space-group type: P-6m2, No. 187
- Offset from the most stable computed form: 173 meV per atom

Record 2
## CeEr2ThAs4 (PBE)

Data for a geometry-optimized CeEr2ThAs4 structure.

abc: 4.172 7.186 7.221
angles: 70.43 90.00 90.00
Last column: magnetic moment on the atom in μB.
Atoms (fractional coordinates):
As 0.500 0.240 0.754  0.00
As 0.500 0.760 0.246  0.00
As 0.000 0.241 0.252  -0.01
As 0.000 0.759 0.748  -0.01
Er 0.000 0.000 0.000  0.00
Er 0.500 0.000 0.500  0.01
Ce 0.500 0.500 0.000  0.68
Th 0.000 0.500 0.500  0.02

Calculated values
- Formation energy from the elements: -11.8 eV per formula unit
- Space-group type: P2/m, No. 10

Record 3
## Pr6Os2I3Cl (PBE)

Data for a geometry-optimized Pr6Os2I3Cl structure.

abc: 7.422 7.422 8.514
angles: 98.28 98.28 119.98
Atoms (fractional coordinates):
Pr 0.298 0.298 0.811
Pr 0.575 0.937 0.810
Pr 0.063 0.425 0.190
Pr 0.937 0.575 0.810
Pr 0.702 0.702 0.189
Pr 0.425 0.063 0.190
I 0.164 0.836 0.500
I 0.836 0.164 0.500
I 0.500 0.500 0.500
Os 0.333 0.667 0.000
Os 0.667 0.333 0.000
Cl 0.000 0.000 0.000

Calculated values
- E: -67.7 eV for the cell shown
- Space-group type: C2/m, No. 12

Record 4
## HfNi3P2 (PBE)

Data for a geometry-optimized HfNi3P2 structure.

abc: 3.598 7.560 8.966
angles: 105.48 90.00 103.77
Atoms (fractional coordinates):
Ni 0.782 0.564 0.608
Ni 0.679 0.357 0.967
Ni 0.218 0.436 0.392
Ni 0.960 0.920 0.665
Ni 0.374 0.748 0.792
Ni 0.321 0.643 0.033
Ni 0.040 0.080 0.335
Ni 0.626 0.252 0.208
Ni 0.500 0.000 0.500
Hf 0.848 0.696 0.301
Hf 0.152 0.304 0.699
Hf 0.000 0.000 0.000
P 0.537 0.074 0.793
P 0.463 0.926 0.207
P 0.802 0.604 0.865
P 0.198 0.396 0.135
P 0.639 0.279 0.460
P 0.361 0.721 0.540

Calculated values
- Formation energy from the elements: -4.8 eV per formula unit
- Space-group type: C2/m, No. 12

Record 5
## AcGe2RuRh (PBE)

Data for a geometry-optimized AcGe2RuRh structure.

abc: 4.319 4.319 6.162
angles: 110.52 110.52 90.00
Atoms (fractional coordinates):
Ru 0.250 0.750 0.500
Ac 0.000 0.000 0.000
Ge 0.364 0.364 0.728
Ge 0.636 0.636 0.272
Rh 0.750 0.250 0.500

Calculated values
- Formation energy from the elements: -3.8 eV per formula unit
- Space-group type: I-4m2, No. 119

Record 6
## V2FeGeH (PBE)

Data for a geometry-optimized V2FeGeH structure.

abc: 3.748 3.748 3.827
angles: 90.00 90.00 90.00
Last column: magnetic moment on the atom in μB.
Atoms (fractional coordinates):
Ge 0.500 0.500 0.500  -0.02
Fe 0.000 0.000 0.500  1.92
V 0.000 0.500 0.000  0.01
V 0.500 0.000 0.000  0.01
H 0.000 0.000 0.000  0.00

Calculated values
- E: -35.7 eV for the cell shown
- Space-group type: P4/mmm, No. 123

Record 7
## AcSb3Pt (PBE)

Data for a geometry-optimized AcSb3Pt structure.

abc: 6.325 6.382 7.063
angles: 85.62 90.00 89.99
Atoms (fractional coordinates):
Sb 0.498 0.866 0.455
Sb 0.875 0.066 0.641
Sb 0.906 0.508 0.896
Sb 0.406 0.844 0.005
Sb 0.998 0.487 0.446
Sb 0.375 0.286 0.261
Pt 0.677 0.577 0.213
Pt 0.177 0.775 0.689
Ac 0.423 0.332 0.764
Ac 0.923 0.021 0.137

Calculated values
- Space-group type: P2_1, No. 4
- Offset from the most stable computed form: 0 meV per atom

Record 8
## Ca2AcLa (PBE)

Data for a geometry-optimized Ca2AcLa structure.

abc: 6.159 6.159 6.159
angles: 60.00 60.00 60.00
Atoms (fractional coordinates):
La 0.000 0.000 0.000
Ca 0.250 0.250 0.250
Ca 0.750 0.750 0.750
Ac 0.500 0.500 0.500

Calculated values
- Formation energy from the elements: 0.3 eV per formula unit
- Space-group type: Fm-3m, No. 225
- Offset from the most stable computed form: 60 meV per atom

Record 9
## Sr2In12Ag (PBE)

Data for a geometry-optimized Sr2In12Ag structure.

abc: 6.967 6.967 17.604
angles: 90.00 90.00 90.00
Atoms (fractional coordinates):
In 0.250 0.750 0.913
In 0.250 0.750 0.087
In 0.250 0.250 0.913
In 0.166 0.666 0.569
In 0.666 0.834 0.569
In 0.000 0.000 0.816
In 0.334 0.166 0.569
In 0.000 0.000 0.345
In 0.166 0.334 0.431
In 0.750 0.250 0.087
In 0.666 0.166 0.431
In 0.500 0.500 0.816
In 0.000 0.000 0.655
In 0.500 0.500 0.655
In 0.500 0.500 0.184
In 0.334 0.834 0.431
In 0.250 0.250 0.087
In 0.750 0.750 0.087
In 0.750 0.750 0.913
In 0.500 0.500 0.345
In 0.000 0.000 0.184
In 0.834 0.334 0.569
In 0.750 0.250 0.913
In 0.834 0.666 0.431
Ag 0.000 0.500 0.000
Ag 0.500 0.000 0.000
Sr 0.000 0.500 0.754
Sr 0.500 0.000 0.246
Sr 0.500 0.000 0.754
Sr 0.000 0.500 0.246

Calculated values
- Formation energy from the elements: -2.7 eV per formula unit
- Space-group type: P4/nbm, No. 125

Record 10
## KNi3B (PBE)

Data for a geometry-optimized KNi3B structure.

abc: 4.061 4.061 4.061
angles: 90.00 90.00 90.00
Atoms (fractional coordinates):
B 0.000 0.000 0.000
Ni 0.000 0.000 0.500
Ni 0.500 0.000 0.000
Ni 0.000 0.500 0.000
K 0.500 0.500 0.500

Calculated values
- Formation energy from the elements: 1.9 eV per formula unit
- Space-group type: Pm-3m, No. 221

Record 11
## ScHg3Os (PBE)

Data for a geometry-optimized ScHg3Os structure.

abc: 5.163 5.163 5.163
angles: 90.00 90.00 90.00
Last column: magnetic moment on the atom in μB.
Atoms (fractional coordinates):
Hg 0.500 0.000 0.000  -0.01
Hg 0.000 0.000 0.500  0.00
Hg 0.000 0.500 0.000  0.00
Os 0.000 0.000 0.000  0.28
Sc 0.500 0.500 0.500  0.31

Calculated values
- Formation energy from the elements: 4.0 eV per formula unit
- Space-group type: Pm-3m, No. 221
- Offset from the most stable computed form: 0 meV per atom

Record 12
## Pm2ThUAs4 (PBE)

Data for a geometry-optimized Pm2ThUAs4 structure.

abc: 4.198 7.267 7.317
angles: 109.32 90.00 90.00
Last column: magnetic moment on the atom in μB.
Atoms (fractional coordinates):
Pm 0.000 0.500 0.500  0.04
Pm 0.500 0.000 0.500  0.01
Th 0.500 0.500 0.000  0.04
As 0.500 0.758 0.757  -0.04
As 0.000 0.245 0.754  -0.02
As 0.500 0.242 0.243  -0.04
As 0.000 0.755 0.246  -0.02
U 0.000 0.000 0.000  2.33

Calculated values
- Formation energy from the elements: -10.4 eV per formula unit
- Space-group type: P2/m, No. 10